<w>
LaZr3Tc PBE optimized geometry; space-group type = Pm-3m, No. 221
1.0
5.0382 0.0000 0.0000
0.0000 5.0382 0.0000
0.0000 0.0000 5.0382
La Zr Tc
1 3 1
Direct
0.0000 0.0000 0.0000
0.0000 0.0000 0.5000
0.0000 0.5000 0.0000
0.5000 0.0000 0.0000
0.5000 0.5000 0.5000



<x>
LaZr3Tc PBE optimized geometry; space-group type = Pm-3m, No. 221
1.0
5.1334 0.0000 0.0000
0.0000 5.1334 0.0000
0.0000 0.0000 5.1334
La Zr Tc
1 3 1
Direct
0.0000 0.0000 0.0000
0.0000 0.5000 0.5000
0.5000 0.0000 0.5000
0.5000 0.5000 0.0000
0.5000 0.5000 0.5000



Relative energy table, unit meV/atom: <w> 1565; <x> 0



<w>
LaZrTc PBE optimized geometry; space-group type = I4mm, No. 107
1.0
-1.6974 1.6974 6.3787
1.6974 -1.6974 6.3787
1.6974 1.6974 -6.3787
La Zr Tc
1 1 1
Direct
0.0000 0.0000 0.0000
0.2624 0.2624 0.0000
0.6549 0.6549 0.0000



<x>
LaZrTc PBE optimized geometry; space-group type = P3m1, No. 156
1.0
4.7006 0.0000 0.0000
-2.3503 4.0708 0.0000
0.0000 0.0000 3.4624
La Zr Tc
1 1 1
Direct
0.0000 0.0000 0.0000
0.6667 0.3333 0.5907
0.3333 0.6667 0.3169



Relative energy table, unit meV/atom: <w> 0; <x> 153



<w>
La5Te PBE optimized geometry; space-group type = P6/mmm, No. 191
1.0
6.4875 0.0000 0.0000
-3.2438 5.6184 0.0000
0.0000 0.0000 5.9003
La Te
5 1
Direct
0.0000 0.5000 0.0000
0.3333 0.6667 0.5000
0.5000 0.0000 0.0000
0.5000 0.5000 0.0000
0.6667 0.3333 0.5000
0.0000 0.0000 0.5000



<x>
La5Te PBE optimized geometry; space-group type = F-43m, No. 216
1.0
0.0000 4.6963 4.6963
4.6963 0.0000 4.6963
4.6963 4.6963 0.0000
La Te
5 1
Direct
0.0000 0.0000 0.0000
0.1148 0.6284 0.6284
0.6284 0.1148 0.6284
0.6284 0.6284 0.1148
0.6284 0.6284 0.6284
0.2500 0.2500 0.2500



Relative energy table, unit meV/atom: <w> 203; <x> 0



<w>
La4Te PBE optimized geometry; space-group type = Im-3m, No. 229
1.0
-3.6748 3.6748 3.6748
3.6748 -3.6748 3.6748
3.6748 3.6748 -3.6748
La Te
4 1
Direct
0.0000 0.0000 0.5000
0.0000 0.5000 0.0000
0.5000 0.0000 0.0000
0.5000 0.5000 0.5000
0.0000 0.0000 0.0000



<x>
La4Te PBE optimized geometry; space-group type = Pm-3m, No. 221
1.0
6.0395 0.0000 0.0000
0.0000 6.0395 0.0000
0.0000 0.0000 6.0395
La Te
4 1
Direct
0.0000 0.0000 0.0000
0.0000 0.5000 0.5000
0.5000 0.0000 0.5000
0.5000 0.5000 0.0000
0.5000 0.5000 0.5000



Relative energy table, unit meV/atom: <w> 48; <x> 0



<w>
LaTh2Te5 PBE optimized geometry; space-group type = I4/mcm, No. 140
1.0
-4.1947 4.1947 7.2904
4.1947 -4.1947 7.2904
4.1947 4.1947 -7.2904
La Th Te
2 4 10
Direct
0.2500 0.2500 0.0000
0.7500 0.7500 0.0000
0.1479 0.6479 0.7958
0.3521 0.1479 0.5000
0.6479 0.8521 0.5000
0.8521 0.3521 0.2042
0.0000 0.0000 0.0000
0.0096 0.1955 0.5000
0.1955 0.6955 0.1859
0.3045 0.4904 0.5000
0.4904 0.9904 0.1859
0.5000 0.5000 0.0000
0.5096 0.0096 0.8141
0.6955 0.5096 0.5000
0.8045 0.3045 0.8141
0.9904 0.8045 0.5000



<x>
LaTh2Te5 PBE optimized geometry; space-group type = Pbam, No. 55
1.0
8.6024 0.0000 0.0000
0.0000 14.3453 0.0000
0.0000 0.0000 4.3635
La Th Te
2 4 10
Direct
0.0000 0.0000 0.0000
0.5000 0.5000 0.0000
0.0214 0.3229 0.5000
0.4786 0.8229 0.5000
0.5214 0.1771 0.5000
0.9786 0.6771 0.5000
0.0000 0.5000 0.0000
0.1686 0.1189 0.5000
0.1860 0.8040 0.0000
0.3140 0.3040 0.0000
0.3314 0.6189 0.5000
0.5000 0.0000 0.0000
0.6686 0.3811 0.5000
0.6860 0.6960 0.0000
0.8140 0.1960 0.0000
0.8314 0.8811 0.5000



Relative energy table, unit meV/atom: <w> 0; <x> 85



<w>
La2ThTe4 PBE optimized geometry; space-group type = Cmcm, No. 63
1.0
2.1979 -7.5685 0.0000
2.1979 7.5685 0.0000
0.0000 0.0000 15.2342
La Th Te
4 2 8
Direct
0.1346 0.8654 0.5712
0.1346 0.8654 0.9288
0.8654 0.1346 0.0712
0.8654 0.1346 0.4288
0.3695 0.6305 0.7500
0.6305 0.3695 0.2500
0.0213 0.9787 0.7500
0.2197 0.7803 0.1264
0.2197 0.7803 0.3736
0.5000 0.5000 0.0000
0.5000 0.5000 0.5000
0.7803 0.2197 0.6264
0.7803 0.2197 0.8736
0.9787 0.0213 0.2500



<x>
La2ThTe4 PBE optimized geometry; space-group type = Cmmm, No. 65
1.0
4.6020 -6.3919 0.0000
4.6020 6.3919 0.0000
0.0000 0.0000 4.4982
La Th Te
2 1 4
Direct
0.0000 0.5000 0.0000
0.5000 0.0000 0.0000
0.0000 0.0000 0.5000
0.2460 0.2460 0.0000
0.2533 0.7467 0.5000
0.7467 0.2533 0.5000
0.7540 0.7540 0.0000



Relative energy table, unit meV/atom: <w> 70; <x> 0



<w>
LaTiTe2 PBE optimized geometry; space-group type = I-42d, No. 122
1.0
-3.1919 3.1919 7.5371
3.1919 -3.1919 7.5371
3.1919 3.1919 -7.5371
La Ti Te
2 2 4
Direct
0.0000 0.0000 0.0000
0.7500 0.2500 0.5000
0.2500 0.7500 0.5000
0.5000 0.5000 0.0000
0.1797 0.6250 0.0547
0.3750 0.4297 0.5547
0.5703 0.1250 0.9453
0.8750 0.8203 0.4453



<x>
LaTiTe2 PBE optimized geometry; space-group type = R-3m, No. 166
1.0
2.2733 1.3125 9.1644
-2.2733 1.3125 9.1644
0.0000 -2.6250 9.1644
La Ti Te
1 1 2
Direct
0.0000 0.0000 0.0000
0.5000 0.5000 0.5000
0.4006 0.4006 0.4006
0.5994 0.5994 0.5994



<y>
LaTiTe2 PBE optimized geometry; space-group type = Fm-3m, No. 225
1.0
0.0000 3.7313 3.7313
3.7313 0.0000 3.7313
3.7313 3.7313 0.0000
La Ti Te
1 1 2
Direct
0.0000 0.0000 0.0000
0.5000 0.5000 0.5000
0.2500 0.2500 0.2500
0.7500 0.7500 0.7500



Relative energy table, unit meV/atom: <w> 223; <x> 396; <y> 0



<w>
LaTi2Te2 PBE optimized geometry; space-group type = I4/mmm, No. 139
1.0
-2.0025 2.0025 7.5333
2.0025 -2.0025 7.5333
2.0025 2.0025 -7.5333
La Ti Te
1 2 2
Direct
0.0000 0.0000 0.0000
0.2500 0.7500 0.5000
0.7500 0.2500 0.5000
0.3816 0.3816 0.0000
0.6184 0.6184 0.0000



<x>
LaTi2Te2 PBE optimized geometry; space-group type = I4/mmm, No. 139
1.0
-2.6488 2.6488 4.3237
2.6488 -2.6488 4.3237
2.6488 2.6488 -4.3237
La Ti Te
1 2 2
Direct
0.0000 0.0000 0.0000
0.3793 0.3793 0.0000
0.6207 0.6207 0.0000
0.2500 0.7500 0.5000
0.7500 0.2500 0.5000



Relative energy table, unit meV/atom: <w> 0; <x> 205